[1]
! MnCrAsOs | Alexandria | GGA-PBE | relaxed; values from VASP
! energy: -34.4 eV per cell
! crystal system: cubic
! magnetization: 1.88 μB/f.u.
! volume: 53.4 Å³/f.u.
! E_form: 79 meV/atom
! calculated density: 11.57 Mg/m³
&SYSTEM
  ibrav = 0, nat = 4, ntyp = 4
/
ATOMIC_SPECIES
Cr 52.00 Cr.upf
As 74.92 As.upf
Mn 54.94 Mn.upf
Os 190.23 Os.upf
ATOMIC_POSITIONS crystal
Cr 0.000 0.000 0.000
As 0.750 0.750 0.750
Mn 0.250 0.250 0.250
Os 0.500 0.500 0.500
CELL_PARAMETERS angstrom
4.227 0.000 0.000
2.113 3.660 0.000
2.113 1.220 3.451



[2]
! MnCrAs2P | Alexandria | GGA-PBE | relaxed; values from VASP
! energy: -29.1 eV per cell
! crystal system: tetragonal
! magnetization: 0.02 μB/f.u.
! volume: 87.9 Å³/f.u.
! E_form: 881 meV/atom
! calculated density: 5.44 Mg/m³
&SYSTEM
  ibrav = 0, nat = 5, ntyp = 4
/
ATOMIC_SPECIES
Cr 52.00 Cr.upf
As 74.92 As.upf
Mn 54.94 Mn.upf
P 30.97 P.upf
ATOMIC_POSITIONS crystal
Cr 0.000 0.500 0.000
As 0.000 0.000 0.500
As 0.500 0.000 0.000
Mn 0.000 0.000 0.000
P 0.500 0.500 0.500
CELL_PARAMETERS angstrom
4.434 0.000 0.000
0.000 4.469 0.000
0.000 0.000 4.434